{
  "formula": "Rb3NiPb2F9",
  "functional": "PBE with a Hubbard U",
  "state": "relaxed",
  "lattice": [[6.487, 0.000, 0.000], [-3.243, 5.618, 0.000], [0.000, 0.000, 7.961]],
  "species": ["Rb", "Rb", "Rb", "Ni", "Pb", "Pb", "F", "F", "F", "F", "F", "F", "F", "F", "F"],
  "frac_coords": [[0.000, 0.000, 0.000], [0.333, 0.667, 0.662], [0.667, 0.333, 0.338], [0.000, 0.000, 0.500], [0.333, 0.667, 0.189], [0.667, 0.333, 0.811], [0.000, 0.500, 0.000], [0.149, 0.298, 0.352], [0.149, 0.851, 0.352], [0.298, 0.149, 0.648], [0.500, 0.000, 0.000], [0.500, 0.500, 0.000], [0.702, 0.851, 0.352], [0.851, 0.149, 0.648], [0.851, 0.702, 0.648]],
  "e_tot_ry_per_atom": -0.32824,
  "n_ef_per_ev_atom": 0.000,
  "total_magnetization_mub_per_cell": 2.0
}